An optimized crystal structure of Lu6Al43Mo4. Source: the Alexandria database, functional PBE.

abc: 10.978 10.978 17.547
angles: 90.00 90.00 120.00
Fractional positions:
Lu (0.000, 0.468, 0.095)
Lu (0.000, 0.468, 0.405)
Lu (0.000, 0.532, 0.595)
Lu (0.000, 0.532, 0.905)
Lu (0.468, 0.000, 0.095)
Lu (0.468, 0.000, 0.405)
Lu (0.468, 0.468, 0.595)
Lu (0.468, 0.468, 0.905)
Lu (0.532, 0.000, 0.595)
Lu (0.532, 0.000, 0.905)
Lu (0.532, 0.532, 0.095)
Lu (0.532, 0.532, 0.405)
Al (0.000, 0.147, 0.750)
Al (0.000, 0.159, 0.115)
Al (0.000, 0.159, 0.385)
Al (0.000, 0.255, 0.530)
Al (0.000, 0.255, 0.970)
Al (0.000, 0.745, 0.030)
Al (0.000, 0.745, 0.470)
Al (0.000, 0.841, 0.615)
Al (0.000, 0.841, 0.885)
Al (0.000, 0.853, 0.250)
Al (0.147, 0.000, 0.750)
Al (0.147, 0.147, 0.250)
Al (0.147, 0.552, 0.250)
Al (0.147, 0.595, 0.750)
Al (0.157, 0.394, 0.663)
Al (0.157, 0.394, 0.837)
Al (0.157, 0.763, 0.163)
Al (0.157, 0.763, 0.337)
Al (0.159, 0.000, 0.115)
Al (0.159, 0.000, 0.385)
Al (0.159, 0.159, 0.615)
Al (0.159, 0.159, 0.885)
Al (0.237, 0.394, 0.163)
Al (0.237, 0.394, 0.337)
Al (0.237, 0.843, 0.663)
Al (0.237, 0.843, 0.837)
Al (0.246, 0.493, 0.000)
Al (0.246, 0.493, 0.500)
Al (0.246, 0.754, 0.000)
Al (0.246, 0.754, 0.500)
Al (0.255, 0.000, 0.530)
Al (0.255, 0.000, 0.970)
Al (0.255, 0.255, 0.030)
Al (0.255, 0.255, 0.470)
Al (0.333, 0.667, 0.125)
Al (0.333, 0.667, 0.375)
Al (0.333, 0.667, 0.625)
Al (0.333, 0.667, 0.875)
Al (0.394, 0.157, 0.663)
Al (0.394, 0.157, 0.837)
Al (0.394, 0.237, 0.163)
Al (0.394, 0.237, 0.337)
Al (0.405, 0.552, 0.750)
Al (0.405, 0.853, 0.250)
Al (0.448, 0.595, 0.250)
Al (0.448, 0.853, 0.750)
Al (0.493, 0.246, 0.000)
Al (0.493, 0.246, 0.500)
Al (0.507, 0.754, 0.000)
Al (0.507, 0.754, 0.500)
Al (0.552, 0.147, 0.250)
Al (0.552, 0.405, 0.750)
Al (0.595, 0.147, 0.750)
Al (0.595, 0.448, 0.250)
Al (0.606, 0.763, 0.663)
Al (0.606, 0.763, 0.837)
Al (0.606, 0.843, 0.163)
Al (0.606, 0.843, 0.337)
Al (0.667, 0.333, 0.125)
Al (0.667, 0.333, 0.375)
Al (0.667, 0.333, 0.625)
Al (0.667, 0.333, 0.875)
Al (0.745, 0.000, 0.030)
Al (0.745, 0.000, 0.470)
Al (0.745, 0.745, 0.530)
Al (0.745, 0.745, 0.970)
Al (0.754, 0.246, 0.000)
Al (0.754, 0.246, 0.500)
Al (0.754, 0.507, 0.000)
Al (0.754, 0.507, 0.500)
Al (0.763, 0.157, 0.163)
Al (0.763, 0.157, 0.337)
Al (0.763, 0.606, 0.663)
Al (0.763, 0.606, 0.837)
Al (0.841, 0.000, 0.615)
Al (0.841, 0.000, 0.885)
Al (0.841, 0.841, 0.115)
Al (0.841, 0.841, 0.385)
Al (0.843, 0.237, 0.663)
Al (0.843, 0.237, 0.837)
Al (0.843, 0.606, 0.163)
Al (0.843, 0.606, 0.337)
Al (0.853, 0.000, 0.250)
Al (0.853, 0.405, 0.250)
Al (0.853, 0.448, 0.750)
Al (0.853, 0.853, 0.750)
Mo (0.000, 0.000, 0.000)
Mo (0.000, 0.000, 0.500)
Mo (0.000, 0.272, 0.250)
Mo (0.000, 0.728, 0.750)
Mo (0.272, 0.000, 0.250)
Mo (0.272, 0.272, 0.750)
Mo (0.728, 0.000, 0.750)
Mo (0.728, 0.728, 0.250)


An optimized crystal structure of CeTiPd. Source: the Alexandria database, functional PBE.

abc: 4.473 4.473 3.796
angles: 90.00 90.00 120.00
Fractional positions:
Ce (0.000, 0.000, 0.000)
Ti (0.333, 0.667, 0.500)
Pd (0.667, 0.333, 0.500)


An optimized crystal structure of CrCd. Source: the Alexandria database, functional PBE.

abc: 3.242 4.805 9.850
angles: 90.00 90.00 90.00
Fractional positions:
Cr (0.000, 0.250, 0.120)
Cr (0.000, 0.750, 0.880)
Cr (0.500, 0.250, 0.380)
Cr (0.500, 0.750, 0.620)
Cd (0.000, 0.250, 0.623)
Cd (0.000, 0.750, 0.377)
Cd (0.500, 0.250, 0.877)
Cd (0.500, 0.750, 0.123)


An optimized crystal structure of Zr2BeHg. Source: the Alexandria database, functional PBE.

E above lowest polymorph ... 0.066 eV/atom

abc: 4.102 3.379 11.231
angles: 90.00 90.00 90.00
Fractional positions:
Zr (0.000, 0.000, 0.000)
Zr (0.000, 0.500, 0.500)
Zr (0.500, 0.000, 0.341)
Zr (0.500, 0.500, 0.841)
Be (0.500, 0.000, 0.586)
Be (0.500, 0.500, 0.086)
Hg (0.000, 0.000, 0.722)
Hg (0.000, 0.500, 0.222)


In eV/f.u., the energy of formation values for the records above are, in order, -16.1, -0.5, 1.2, -0.2.
In μB per formula unit, the magnetic moment values for the records above are, in order, 0.00, 1.02, 4.05, 0.00.